Below is a relaxed Na2LiEu crystal, with properties calculated at the GGA-PBE level.

The structure in extended XYZ format:
```
4
Lattice="6.079 0.000 0.000 0.000 6.079 0.000 0.000 0.000 3.950" Properties=species:S:1:pos:R:3 pbc="T T T"
Na 0.000 3.040 0.000
Na 3.040 0.000 0.000
Li 0.000 0.000 1.975
Eu 3.040 3.040 1.975
```

Computed properties:
Offset from the most stable computed form in meV/atom: 60
Calculated volume in Å³/f.u.: 146
ΔH_f (0 K) in meV/atom: 155.6
Magnetic moment in Bohr magnetons per cell: 7.61
DOS(E_F) in states/eV/cell: 12.64



Below is a relaxed NaLiEu2 crystal, with properties calculated at the GGA-PBE level.

The structure in extended XYZ format:
```
4
Lattice="1.855 1.071 12.802 -1.855 1.071 12.802 0.000 -2.142 12.802" Properties=species:S:1:pos:R:3 pbc="T T T"
Na 0.000 0.000 0.000
Li 0.000 0.000 19.203
Eu 0.000 0.000 3.610
Eu 0.000 0.000 34.797
```

Computed properties:
Offset from the most stable computed form in meV/atom: 101
Calculated volume in Å³/f.u.: 153
ΔH_f (0 K) in meV/atom: 185.6
Magnetic moment in Bohr magnetons per cell: 15.43
DOS(E_F) in states/eV/cell: 3.69



Below is a relaxed NaLiEu crystal, with properties calculated at the GGA-PBE level.

The structure in extended XYZ format:
```
3
Lattice="5.681 0.000 0.000 -2.840 4.920 0.000 0.000 0.000 3.773" Properties=species:S:1:pos:R:3 pbc="T T T"
Na 0.000 0.000 0.000
Li 0.000 3.280 3.745
Eu 2.840 1.640 1.875
```

Computed properties:
Offset from the most stable computed form in meV/atom: 37
Calculated volume in Å³/f.u.: 105
ΔH_f (0 K) in meV/atom: 122.9
Magnetic moment in Bohr magnetons per cell: 7.51
DOS(E_F) in states/eV/cell: 11.40



Below is a relaxed Na2LiEu crystal, with properties calculated at the GGA-PBE level.

The structure in extended XYZ format:
```
4
Lattice="1.851 1.069 11.873 -1.851 1.069 11.873 0.000 -2.137 11.873" Properties=species:S:1:pos:R:3 pbc="T T T"
Na 0.000 0.000 8.607
Na 0.000 0.000 27.013
Li 0.000 0.000 17.810
Eu 0.000 0.000 0.000
```

Computed properties:
Offset from the most stable computed form in meV/atom: 10
Calculated volume in Å³/f.u.: 141
ΔH_f (0 K) in meV/atom: 105.1
Magnetic moment in Bohr magnetons per cell: 7.67
DOS(E_F) in states/eV/cell: 2.87



Below is a relaxed NaLiEu2 crystal, with properties calculated at the GGA-PBE level.

The structure in extended XYZ format:
```
4
Lattice="3.941 0.000 0.000 0.000 3.941 0.000 0.000 0.000 9.496" Properties=species:S:1:pos:R:3 pbc="T T T"
Na 0.000 0.000 0.000
Li 0.000 0.000 4.748
Eu 1.970 1.970 2.699
Eu 1.970 1.970 6.798
```

Computed properties:
Offset from the most stable computed form in meV/atom: 0
Calculated volume in Å³/f.u.: 147
ΔH_f (0 K) in meV/atom: 84.4
Magnetic moment in Bohr magnetons per cell: 15.09
DOS(E_F) in states/eV/cell: 18.02



Below is a relaxed NaLiEu crystal, with properties calculated at the GGA-PBE level.

The structure in extended XYZ format:
```
3
Lattice="-1.951 1.951 6.694 1.951 -1.951 6.694 1.951 1.951 -6.694" Properties=species:S:1:pos:R:3 pbc="T T T"
Na 0.000 0.000 0.000
Li 0.000 0.000 8.404
Eu 0.000 0.000 3.978
```

Computed properties:
Offset from the most stable computed form in meV/atom: 0
Calculated volume in Å³/f.u.: 102
ΔH_f (0 K) in meV/atom: 85.8
Magnetic moment in Bohr magnetons per cell: 7.62
DOS(E_F) in states/eV/cell: 9.50



Below is a relaxed NaLi4Eu crystal, with properties calculated at the GGA-PBE level.

The structure in extended XYZ format:
```
6
Lattice="0.000 4.342 4.342 4.342 0.000 4.342 4.342 4.342 0.000" Properties=species:S:1:pos:R:3 pbc="T T T"
Na 0.000 0.000 0.000
Li 3.252 3.252 3.252
Li 5.432 5.432 3.252
Li 5.432 3.252 5.432
Li 3.252 5.432 5.432
Eu 6.513 6.513 6.513
```

Computed properties:
Calculated volume in Å³/f.u.: 164
ΔH_f (0 K) in meV/atom: 50.9
Magnetic moment in Bohr magnetons per cell: 7.80
DOS(E_F) in states/eV/cell: 13.15



Below is a relaxed NaLiEuPb crystal, with properties calculated at the GGA-PBE level.

The structure in extended XYZ format:
```
4
Lattice="0.000 3.815 3.815 3.815 0.000 3.815 3.815 3.815 0.000" Properties=species:S:1:pos:R:3 pbc="T T T"
Na 0.000 0.000 0.000
Li 5.722 5.722 5.722
Eu 1.907 1.907 1.907
Pb 3.815 3.815 3.815
```

Computed properties:
Calculated volume in Å³/f.u.: 111
ΔH_f (0 K) in meV/atom: -286.9
Magnetic moment in Bohr magnetons per cell: 6.97
DOS(E_F) in states/eV/cell: 19.90



Below is a relaxed NaLiPrEu crystal, with properties calculated at the GGA-PBE level.

The structure in extended XYZ format:
```
4
Lattice="0.000 4.074 4.074 4.074 0.000 4.074 4.074 4.074 0.000" Properties=species:S:1:pos:R:3 pbc="T T T"
Na 0.000 0.000 0.000
Li 4.074 4.074 4.074
Pr 6.111 6.111 6.111
Eu 2.037 2.037 2.037
```

Computed properties:
Calculated volume in Å³/f.u.: 135
ΔH_f (0 K) in meV/atom: 223.0
Magnetic moment in Bohr magnetons per cell: 7.92
DOS(E_F) in states/eV/cell: 12.30



Below is a relaxed NaLiEuPt crystal, with properties calculated at the GGA-PBE level.

The structure in extended XYZ format:
```
4
Lattice="0.000 3.565 3.565 3.565 0.000 3.565 3.565 3.565 0.000" Properties=species:S:1:pos:R:3 pbc="T T T"
Na 0.000 0.000 0.000
Li 1.783 1.783 1.783
Eu 3.565 3.565 3.565
Pt 5.348 5.348 5.348
```

Computed properties:
Calculated volume in Å³/f.u.: 91
ΔH_f (0 K) in meV/atom: -314.3
Magnetic moment in Bohr magnetons per cell: 7.08
DOS(E_F) in states/eV/cell: 12.09



Below is a relaxed LiNd2Eu crystal, with properties calculated at the GGA-PBE level.

The structure in extended XYZ format:
```
4
Lattice="0.000 4.035 4.035 4.035 0.000 4.035 4.035 4.035 0.000" Properties=species:S:1:pos:R:3 pbc="T T T"
Li 0.000 0.000 0.000
Nd 2.018 2.018 2.018
Nd 6.053 6.053 6.053
Eu 4.035 4.035 4.035
```

Computed properties:
Offset from the most stable computed form in meV/atom: 86
Calculated volume in Å³/f.u.: 131
ΔH_f (0 K) in meV/atom: 197.6
Magnetic moment in Bohr magnetons per cell: 7.36
DOS(E_F) in states/eV/cell: 4.60



Below is a relaxed Li4NdEu crystal, with properties calculated at the GGA-PBE level.

The structure in extended XYZ format:
```
6
Lattice="0.000 4.288 4.288 4.288 0.000 4.288 4.288 4.288 0.000" Properties=species:S:1:pos:R:3 pbc="T T T"
Li 1.067 1.067 1.067
Li 3.221 3.221 1.067
Li 3.221 1.067 3.221
Li 1.067 3.221 3.221
Nd 6.432 6.432 6.432
Eu 4.288 4.288 4.288
```

Computed properties:
Calculated volume in Å³/f.u.: 158
ΔH_f (0 K) in meV/atom: 85.1
Magnetic moment in Bohr magnetons per cell: 8.07
DOS(E_F) in states/eV/cell: 5.58



Below is a relaxed LiNd2Eu crystal, with properties calculated at the GGA-PBE level.

The structure in extended XYZ format:
```
4
Lattice="1.787 1.031 12.798 -1.787 1.031 12.798 0.000 -2.063 12.798" Properties=species:S:1:pos:R:3 pbc="T T T"
Li 0.000 0.000 0.000
Nd 0.000 0.000 3.310
Nd 0.000 0.000 35.086
Eu 0.000 0.000 19.198
```

Computed properties:
Offset from the most stable computed form in meV/atom: 129
Calculated volume in Å³/f.u.: 142
ΔH_f (0 K) in meV/atom: 240.8
Magnetic moment in Bohr magnetons per cell: 8.01
DOS(E_F) in states/eV/cell: 5.23



Below is a relaxed Li2NdEu crystal, with properties calculated at the GGA-PBE level.

The structure in extended XYZ format:
```
4
Lattice="3.853 0.000 0.000 0.000 3.853 0.000 0.000 0.000 8.081" Properties=species:S:1:pos:R:3 pbc="T T T"
Li 0.000 0.000 1.905
Li 0.000 0.000 6.176
Nd 1.926 1.926 0.000
Eu 1.926 1.926 4.041
```

Computed properties:
Offset from the most stable computed form in meV/atom: 0
Calculated volume in Å³/f.u.: 120
ΔH_f (0 K) in meV/atom: 117.9
Magnetic moment in Bohr magnetons per cell: 7.99
DOS(E_F) in states/eV/cell: 10.56



Below is a relaxed Li2NdEu crystal, with properties calculated at the GGA-PBE level.

The structure in extended XYZ format:
```
4
Lattice="0.000 3.907 3.907 3.907 0.000 3.907 3.907 3.907 0.000" Properties=species:S:1:pos:R:3 pbc="T T T"
Li 1.954 1.954 1.954
Li 5.861 5.861 5.861
Nd 0.000 0.000 0.000
Eu 3.907 3.907 3.907
```

Computed properties:
Offset from the most stable computed form in meV/atom: 21
Calculated volume in Å³/f.u.: 119
ΔH_f (0 K) in meV/atom: 138.9
Magnetic moment in Bohr magnetons per cell: 7.41
DOS(E_F) in states/eV/cell: 10.53



Below is a relaxed LiNd2Eu crystal, with properties calculated at the GGA-PBE level.

The structure in extended XYZ format:
```
4
Lattice="3.776 0.000 0.000 0.000 3.776 0.000 0.000 0.000 9.180" Properties=species:S:1:pos:R:3 pbc="T T T"
Li 0.000 0.000 0.000
Nd 1.888 1.888 1.898
Nd 1.888 1.888 7.282
Eu 0.000 0.000 4.590
```

Computed properties:
Offset from the most stable computed form in meV/atom: 0
Calculated volume in Å³/f.u.: 131
ΔH_f (0 K) in meV/atom: 111.3
Magnetic moment in Bohr magnetons per cell: 8.02
DOS(E_F) in states/eV/cell: 6.03